a.
Compound: TcAgI2
Source: Alexandria via LeMat-Bulk
Functional: PBE
Structure: relaxed

Values from the calculation:
The density comes out at 8.6 g/cm³.

POSCAR file:
```
TcAgI2
1.0
-1.592 -4.655 0.935
-3.764 -0.760 3.214
-4.468 -1.504 -1.687
Tc I Ag
1 2 1
Direct
0.000 0.000 0.000
0.750 0.750 0.750
0.250 0.250 0.250
0.500 0.500 0.500
```

b.
Compound: TcAgI2
Source: Alexandria via LeMat-Bulk
Functional: PBE
Structure: relaxed

Values from the calculation:
The density comes out at 6.1 g/cm³.

POSCAR file:
```
TcAgI2
1.0
-5.249 -3.877 -1.072
1.897 -3.939 4.962
-4.731 -0.782 5.595
I Tc Ag
4 2 2
Direct
0.375 0.407 0.750
0.875 0.843 0.750
0.593 0.125 0.250
0.157 0.625 0.250
0.500 0.500 0.000
0.250 0.750 0.500
0.750 0.250 0.500
0.000 0.000 0.000
```

Energies, relative to the best one, in meV/atom: a 207; b 0.

a.
Compound: Tc2AgI2
Source: Alexandria via LeMat-Bulk
Functional: PBE
Structure: relaxed

Values from the calculation:
The density comes out at 7.1 g/cm³.

POSCAR file:
```
Tc2AgI2
1.0
4.060 0.000 0.000
0.000 4.060 0.000
2.030 2.030 7.884
I Ag Tc
2 1 2
Direct
0.643 0.643 0.715
0.357 0.357 0.285
0.000 0.000 0.000
0.750 0.250 0.500
0.250 0.750 0.500
```

b.
Compound: Tc2AgI2
Source: Alexandria via LeMat-Bulk
Functional: PBE
Structure: relaxed

Values from the calculation:
The density comes out at 9.0 g/cm³.

POSCAR file:
```
Tc2AgI2
1.0
8.007 0.000 0.000
0.000 8.007 0.000
0.000 0.000 3.200
I Ag Tc
4 2 4
Direct
0.651 0.151 0.000
0.151 0.349 0.000
0.349 0.849 0.000
0.849 0.651 0.000
0.000 0.000 0.000
0.500 0.500 0.000
0.865 0.365 0.500
0.135 0.635 0.500
0.635 0.865 0.500
0.365 0.135 0.500
```

Energies, relative to the best one, in meV/atom: a 0; b 333.

a.
Compound: TcAgI3
Source: Alexandria via LeMat-Bulk
Functional: PBE
Structure: relaxed

Values from the calculation:
The density comes out at 5.7 g/cm³.

POSCAR file:
```
TcAgI3
1.0
-4.809 0.700 -2.677
-2.092 -4.433 2.599
-1.811 3.262 4.106
Ag I Tc
1 3 1
Direct
0.500 0.500 0.500
0.000 0.500 0.000
0.000 0.000 0.500
0.500 0.000 0.000
0.000 0.000 0.000
```

b.
Compound: TcAgI3
Source: Alexandria via LeMat-Bulk
Functional: PBE
Structure: relaxed

Values from the calculation:
The density comes out at 5.3 g/cm³.

POSCAR file:
```
TcAgI3
1.0
5.679 0.000 0.000
0.000 5.679 0.000
0.000 0.000 5.679
I Ag Tc
3 1 1
Direct
0.500 0.000 0.000
0.000 0.500 0.000
0.000 0.000 0.500
0.000 0.000 0.000
0.500 0.500 0.500
```

Energies, relative to the best one, in meV/atom: a 0; b 418.

a.
Compound: Ag5Te2I2
Source: Alexandria via LeMat-Bulk
Functional: PBE
Structure: relaxed

Values from the calculation:
The density comes out at 6.4 g/cm³.

POSCAR file:
```
Ag5Te2I2
1.0
7.555 0.000 0.000
0.000 7.586 0.000
-3.777 -3.793 9.536
Te Ag I
4 10 4
Direct
0.210 0.276 0.500
0.790 0.776 0.500
0.000 0.086 0.000
0.500 0.586 0.000
0.783 0.780 0.751
0.295 0.224 0.946
0.151 0.724 0.946
0.468 0.280 0.751
0.532 0.529 0.249
0.705 0.278 0.054
0.113 0.619 0.500
0.849 0.778 0.054
0.887 0.119 0.500
0.217 0.029 0.249
0.841 0.395 0.747
0.594 0.149 0.253
0.159 0.649 0.253
0.406 0.895 0.747
```

b.
Compound: Ag5Te2I2
Source: Alexandria via LeMat-Bulk
Functional: PBE
Structure: relaxed

Values from the calculation:
The density comes out at 6.3 g/cm³.

POSCAR file:
```
Ag5Te2I2
1.0
-3.076 1.603 3.241
-2.372 -7.047 1.232
7.896 1.209 3.410
Ag I Te
5 2 2
Direct
0.931 0.580 0.859
0.069 0.420 0.141
0.697 0.978 0.395
0.000 0.000 0.000
0.303 0.022 0.605
0.363 0.682 0.725
0.637 0.318 0.275
0.884 0.184 0.767
0.116 0.816 0.233
```

Energies, relative to the best one, in meV/atom: a 59; b 0.

a.
Compound: Ag2TeI6
Source: Alexandria via LeMat-Bulk
Functional: PBE
Structure: relaxed

Values from the calculation:
The density comes out at 3.6 g/cm³.

POSCAR file:
```
Ag2TeI6
1.0
-2.376 0.031 7.404
-6.166 -5.826 -1.954
7.880 -2.688 2.540
I Ag Te
6 2 1
Direct
0.764 0.157 0.313
0.764 0.157 0.843
0.236 0.843 0.687
0.764 0.687 0.843
0.236 0.313 0.157
0.236 0.843 0.157
0.863 0.333 0.667
0.137 0.667 0.333
0.000 0.000 0.000
```

b.
Compound: Ag2TeI6
Source: Alexandria via LeMat-Bulk
Functional: PBE
Structure: relaxed

Values from the calculation:
The density comes out at 5.3 g/cm³.

POSCAR file:
```
Ag2TeI6
1.0
7.216 0.000 0.000
0.000 7.216 0.000
0.000 0.000 13.301
I Ag Te
12 4 2
Direct
0.300 0.300 0.500
0.698 0.698 0.166
0.700 0.700 0.500
0.198 0.802 0.666
0.698 0.698 0.834
0.802 0.198 0.666
0.802 0.198 0.334
0.302 0.302 0.834
0.198 0.802 0.334
0.800 0.200 0.000
0.200 0.800 0.000
0.302 0.302 0.166
0.000 0.000 0.836
0.500 0.500 0.664
0.500 0.500 0.336
0.000 0.000 0.164
0.000 0.000 0.500
0.500 0.500 0.000
```

Energies, relative to the best one, in meV/atom: a 38; b 0.

a.
Compound: AgTeI6
Source: Alexandria via LeMat-Bulk
Functional: PBE
Structure: relaxed

Values from the calculation:
The density comes out at 4.8 g/cm³.

POSCAR file:
```
AgTeI6
1.0
-3.563 -8.647 -0.957
0.870 2.658 -5.969
6.229 -0.445 2.111
I Ag Te
6 1 1
Direct
0.730 0.599 0.000
0.283 0.677 0.677
0.730 0.000 0.599
0.717 0.323 0.323
0.270 0.401 0.000
0.270 0.000 0.401
0.500 0.500 0.500
0.000 0.000 0.000
```

b.
Compound: AgTeI6
Source: Alexandria via LeMat-Bulk
Functional: PBE
Structure: relaxed

Values from the calculation:
The density comes out at 5.0 g/cm³.

POSCAR file:
```
AgTeI6
1.0
-6.639 -1.508 2.499
-0.776 -3.517 7.068
-2.648 3.956 6.702
Ag I Te
1 6 1
Direct
0.500 0.500 0.500
0.400 0.776 0.763
0.600 0.224 0.237
0.249 0.898 0.266
0.090 0.417 0.748
0.751 0.102 0.734
0.910 0.583 0.252
0.000 0.000 0.000
```

Energies, relative to the best one, in meV/atom: a 56; b 0.